Here is a crystal of La2Ge5Ru3 relaxed with PBEsol from Alexandria via LeMat-Bulk. Energies are from SCAN.

a = 9.943 Å, b = 12.469 Å, c = 5.861 Å
α = 90.00°, β = 90.00°, γ = 90.00°
Space group Ibam (No. 72)
One atom of each set of equivalent atoms:
1 La 0.231 0.137 0.000 x8
2 Ge 0.000 0.000 0.250 x4
3 Ge 0.000 0.290 0.250 x8
4 Ge 0.170 0.409 0.000 x8
5 Ru 0.000 0.500 0.250 x4
6 Ru 0.093 0.146 0.500 x8

Values from the calculation:
formation energy from the elements = -0.7716 eV per atom

Here is a crystal of Er2CrSbO7 relaxed with PBEsol from Alexandria via LeMat-Bulk. Energies are from SCAN.

a = 7.106 Å, b = 7.194 Å, c = 10.056 Å
α = 90.00°, β = 90.00°, γ = 90.00°
Space group Imma (No. 74)
One atom of each set of equivalent atoms:
1 Er 0.000 0.000 0.000 x4
2 Er 0.250 0.250 0.250 x4
3 Cr 0.250 0.250 0.750 x4
4 Sb 0.000 0.000 0.500 x4
5 O 0.000 0.250 0.127 x4
6 O 0.000 0.250 0.414 x4
7 O 0.000 0.250 0.839 x4
8 O 0.209 0.038 0.627 x16

Values from the calculation:
formation energy (no corrections) = -2.9698 eV/atom

Here is a crystal of Ba2AsRh relaxed with PBEsol from Alexandria via LeMat-Bulk. Energies are from SCAN.

a = 3.580 Å, b = 3.580 Å, c = 9.346 Å
α = 90.00°, β = 90.00°, γ = 90.00°
Space group P4mm (No. 99)
One atom of each set of equivalent atoms:
1 Ba 0.000 0.000 0.000 x1
2 Ba 0.500 0.500 0.426 x1
3 As 0.500 0.500 0.759 x1
4 Rh 0.000 0.000 0.681 x1

Values from the calculation:
formation energy from the elements = -0.2963 eV per atom

Here is a crystal of TiGa2TcBr relaxed with PBEsol from Alexandria via LeMat-Bulk. Energies are from SCAN.

a = 4.866 Å, b = 4.866 Å, c = 4.514 Å
α = 90.00°, β = 90.00°, γ = 90.00°
Space group P4/mmm (No. 123)
One atom of each set of equivalent atoms:
1 Ti 0.000 0.000 0.000 x1
2 Ga 0.000 0.500 0.500 x2
3 Tc 0.500 0.500 0.000 x1
4 Br 0.000 0.000 0.500 x1

Values from the calculation:
formation energy (no corrections) = 1.3195 eV/atom

Here is a crystal of TlTc2Mo relaxed with PBEsol from Alexandria via LeMat-Bulk. Energies are from SCAN.

a = 3.112 Å, b = 4.663 Å, c = 8.881 Å
α = 90.00°, β = 90.00°, γ = 90.00°
Space group Immm (No. 71)
One atom of each set of equivalent atoms:
1 Tl 0.000 0.000 0.000 x2
2 Tc 0.000 0.500 0.230 x4
3 Mo 0.000 0.000 0.500 x2

Values from the calculation:
formation energy from the elements = 0.5507 eV per atom

Here is a crystal of BaMg2Tl relaxed with PBEsol from Alexandria via LeMat-Bulk. Energies are from SCAN.

a = 7.778 Å, b = 7.778 Å, c = 7.778 Å
α = 90.00°, β = 90.00°, γ = 90.00°
Space group F-43m (No. 216)
One atom of each set of equivalent atoms:
1 Ba 0.000 0.000 0.000 x4
2 Mg 0.000 0.000 0.500 x4
3 Mg 0.250 0.250 0.750 x4
4 Tl 0.250 0.250 0.250 x4

Values from the calculation:
formation energy from the elements = -0.2114 eV per atom

Here is a crystal of YFeCl2 relaxed with PBEsol from Alexandria via LeMat-Bulk. Energies are from SCAN.

a = 3.773 Å, b = 3.773 Å, c = 10.125 Å
α = 90.00°, β = 90.00°, γ = 90.00°
Space group I-4m2 (No. 119)
One atom of each set of equivalent atoms:
1 Y 0.000 0.000 0.000 x2
2 Fe 0.000 0.500 0.750 x2
3 Cl 0.000 0.000 0.500 x2
4 Cl 0.000 0.500 0.250 x2

Values from the calculation:
formation energy (no corrections) = -0.6328 eV/atom

Here is a crystal of LaMo2Ir relaxed with PBEsol from Alexandria via LeMat-Bulk. Energies are from SCAN.

a = 3.940 Å, b = 3.940 Å, c = 9.510 Å
α = 90.00°, β = 90.00°, γ = 90.00°
Space group I4/mmm (No. 139)
One atom of each set of equivalent atoms:
1 La 0.000 0.000 0.000 x2
2 Mo 0.000 0.500 0.250 x4
3 Ir 0.000 0.000 0.500 x2

Values from the calculation:
formation energy from the elements = 0.5304 eV per atom

Let's list DFT total energy in order: -29.384; -21.147; -33.562; -19.329; -43.790; -30.675; -16.115; -45.463 eV/atom.